PBE CsPaTlCl6, relaxed; magnetization = 0.112 μB per atom; space-group type = P-31c, No. 163; total energy = -4.418 eV per atom
1.0
8.262 0.000 0.000
-4.131 7.155 0.000
0.000 0.000 11.890
Cs Pa Tl Cl
2 2 2 12
direct
0.333 0.667 0.250
0.667 0.333 0.750
0.333 0.667 0.750
0.667 0.333 0.250
0.000 0.000 0.000
0.000 0.000 0.500
0.076 0.395 0.622
0.076 0.682 0.878
0.318 0.395 0.878
0.318 0.924 0.622
0.395 0.076 0.122
0.395 0.318 0.378
0.605 0.682 0.622
0.605 0.924 0.878
0.682 0.076 0.378
0.682 0.605 0.122
0.924 0.318 0.122
0.924 0.605 0.378